{"formula": "Ce2Fe12Co5", "functional": "meta-GGA SCAN", "state": "PBEsol geometry", "delta_e_f_ev_per_fu": 0.0, "spacegroup": "No. 166", "crystal_system": "trigonal", "magnetic_moment_mub_per_fu": 35.9, "lattice_angstrom": [[4.074, 2.352, 4.129], [-4.074, 2.352, 4.129], [0.000, -4.704, 4.129]], "species": ["Ce", "Ce", "Fe", "Fe", "Fe", "Fe", "Fe", "Fe", "Fe", "Fe", "Fe", "Fe", "Fe", "Fe", "Co", "Co", "Co", "Co", "Co"], "frac_coords": [[0.157, 0.157, 0.157], [0.843, 0.843, 0.843], [0.162, 0.162, 0.656], [0.162, 0.656, 0.162], [0.201, 0.500, 0.799], [0.201, 0.799, 0.500], [0.344, 0.838, 0.838], [0.500, 0.201, 0.799], [0.500, 0.799, 0.201], [0.656, 0.162, 0.162], [0.799, 0.201, 0.500], [0.799, 0.500, 0.201], [0.838, 0.344, 0.838], [0.838, 0.838, 0.344], [0.000, 0.500, 0.500], [0.408, 0.408, 0.408], [0.500, 0.000, 0.500], [0.500, 0.500, 0.000], [0.592, 0.592, 0.592]]}

{"formula": "CeGa4Co9", "functional": "meta-GGA SCAN", "state": "PBEsol geometry", "delta_e_f_ev_per_fu": -2.4, "spacegroup": "No. 140", "crystal_system": "tetragonal", "magnetic_moment_mub_per_fu": 11.4, "lattice_angstrom": [[-3.914, 3.914, 5.749], [3.914, -3.914, 5.749], [3.914, 3.914, -5.749]], "species": ["Ce", "Ce", "Ga", "Ga", "Ga", "Ga", "Ga", "Ga", "Ga", "Ga", "Co", "Co", "Co", "Co", "Co", "Co", "Co", "Co", "Co", "Co", "Co", "Co", "Co", "Co", "Co", "Co", "Co", "Co"], "frac_coords": [[0.250, 0.250, 0.000], [0.750, 0.750, 0.000], [0.055, 0.555, 0.860], [0.195, 0.055, 0.500], [0.305, 0.805, 0.860], [0.445, 0.305, 0.500], [0.555, 0.695, 0.500], [0.695, 0.195, 0.140], [0.805, 0.945, 0.500], [0.945, 0.445, 0.140], [0.000, 0.500, 0.500], [0.061, 0.789, 0.500], [0.062, 0.199, 0.261], [0.199, 0.938, 0.137], [0.211, 0.711, 0.271], [0.289, 0.561, 0.500], [0.301, 0.438, 0.739], [0.438, 0.699, 0.137], [0.439, 0.939, 0.729], [0.500, 0.000, 0.500], [0.561, 0.061, 0.271], [0.562, 0.301, 0.863], [0.699, 0.562, 0.261], [0.711, 0.439, 0.500], [0.789, 0.289, 0.729], [0.801, 0.062, 0.863], [0.938, 0.801, 0.739], [0.939, 0.211, 0.500]]}

{"formula": "CeGaCo", "functional": "meta-GGA SCAN", "state": "PBEsol geometry", "delta_e_f_ev_per_fu": -1.6, "spacegroup": "No. 12", "crystal_system": "monoclinic", "magnetic_moment_mub_per_fu": 0.0, "lattice_angstrom": [[5.404, -2.170, 0.000], [5.404, 2.170, 0.000], [-1.296, 0.000, 4.462]], "species": ["Ce", "Ce", "Ga", "Ga", "Co", "Co"], "frac_coords": [[0.131, 0.131, 0.333], [0.869, 0.869, 0.667], [0.416, 0.416, 0.183], [0.584, 0.584, 0.817], [0.190, 0.190, 0.837], [0.810, 0.810, 0.163]]}

{"formula": "Ce2Ga9CoGe2", "functional": "meta-GGA SCAN", "state": "PBEsol geometry", "delta_e_f_ev_per_fu": -5.7, "spacegroup": "No. 129", "crystal_system": "tetragonal", "magnetic_moment_mub_per_fu": 0.0, "lattice_angstrom": [[5.888, 0.000, 0.000], [0.000, 5.888, 0.000], [0.000, 0.000, 14.571]], "species": ["Ce", "Ce", "Ce", "Ce", "Ga", "Ga", "Ga", "Ga", "Ga", "Ga", "Ga", "Ga", "Ga", "Ga", "Ga", "Ga", "Ga", "Ga", "Ga", "Ga", "Ga", "Ga", "Co", "Co", "Ge", "Ge", "Ge", "Ge"], "frac_coords": [[0.250, 0.750, 0.245], [0.250, 0.750, 0.755], [0.750, 0.250, 0.245], [0.750, 0.250, 0.755], [0.016, 0.016, 0.087], [0.016, 0.484, 0.087], [0.030, 0.030, 0.414], [0.030, 0.470, 0.414], [0.250, 0.250, 0.653], [0.470, 0.030, 0.414], [0.470, 0.470, 0.414], [0.484, 0.016, 0.087], [0.484, 0.484, 0.087], [0.516, 0.516, 0.913], [0.516, 0.984, 0.913], [0.530, 0.530, 0.586], [0.530, 0.970, 0.586], [0.750, 0.750, 0.347], [0.970, 0.530, 0.586], [0.970, 0.970, 0.586], [0.984, 0.516, 0.913], [0.984, 0.984, 0.913], [0.250, 0.750, 0.000], [0.750, 0.250, 0.000], [0.250, 0.250, 0.242], [0.250, 0.250, 0.818], [0.750, 0.750, 0.182], [0.750, 0.750, 0.758]]}